[1]
! OsPdOF2 GGA-PBE optimized geometry; values from VASP
! - Formation energy without anion corrections: -0.388 eV per atom
! - Crystal system: tetragonal
! - N(E_F): 0.62 states/eV per atom
! - DFT total energy: -5.413 eV per atom
&SYSTEM
  ibrav = 0, nat = 5, ntyp = 4
/
ATOMIC_SPECIES
O 16.00 O.upf
F 19.00 F.upf
Os 190.23 Os.upf
Pd 106.42 Pd.upf
ATOMIC_POSITIONS crystal
O 0.000 0.000 0.500
F 0.500 0.000 0.000
F 0.000 0.500 0.000
Os 0.000 0.000 0.000
Pd 0.500 0.500 0.500
CELL_PARAMETERS angstrom
4.294 0.000 0.000
0.000 4.294 0.000
0.000 0.000 3.713


[2]
! MnAl GGA-PBE optimized geometry; values from VASP
! - Energy of formation from the pure elements: 0.307 eV/atom
! - Crystal system: tetragonal
! - N(E_F): 0.58 states/eV per atom
! - DFT total energy: -6.149 eV per atom
&SYSTEM
  ibrav = 0, nat = 8, ntyp = 2
/
ATOMIC_SPECIES
Mn 54.94 Mn.upf
Al 26.98 Al.upf
ATOMIC_POSITIONS crystal
Mn 0.816 0.816 0.000
Mn 0.684 0.316 0.500
Mn 0.316 0.684 0.500
Mn 0.184 0.184 0.000
Al 0.689 0.311 0.000
Al 0.189 0.189 0.500
Al 0.311 0.689 0.000
Al 0.811 0.811 0.500
CELL_PARAMETERS angstrom
4.964 0.000 0.000
0.000 4.964 0.000
0.000 0.000 4.997


[3]
! ReAg2RhCl GGA-PBE optimized geometry; values from VASP
! - Formation energy without anion corrections: 1.283 eV per atom
! - Crystal system: tetragonal
! - N(E_F): 0.60 states/eV per atom
! - DFT total energy: -4.186 eV per atom
&SYSTEM
  ibrav = 0, nat = 5, ntyp = 4
/
ATOMIC_SPECIES
Re 186.21 Re.upf
Ag 107.87 Ag.upf
Cl 35.45 Cl.upf
Rh 102.91 Rh.upf
ATOMIC_POSITIONS crystal
Re 0.000 0.500 0.000
Ag 0.500 0.000 0.000
Ag 0.000 0.000 0.500
Cl 0.500 0.500 0.500
Rh 0.000 0.000 0.000
CELL_PARAMETERS angstrom
5.197 0.000 0.000
0.000 4.619 0.000
0.000 0.000 5.197


[4]
! Li2Sn2Hg GGA-PBE optimized geometry; values from VASP
! - Energy of formation from the pure elements: -0.252 eV/atom
! - Crystal system: orthorhombic
! - N(E_F): 0.37 states/eV per atom
! - DFT total energy: -2.679 eV per atom
&SYSTEM
  ibrav = 0, nat = 5, ntyp = 3
/
ATOMIC_SPECIES
Hg 200.59 Hg.upf
Sn 118.71 Sn.upf
Li 6.94 Li.upf
ATOMIC_POSITIONS crystal
Hg 0.000 0.000 0.000
Sn 0.000 0.181 0.637
Sn 0.000 0.819 0.363
Li 0.500 0.414 0.172
Li 0.500 0.586 0.828
CELL_PARAMETERS angstrom
-1.085 -2.759 -1.374
3.162 -0.990 -0.509
1.621 -4.825 8.408


[5]
! TiHRh2 GGA-PBE optimized geometry; values from VASP
! - Crystal system: hexagonal
! - N(E_F): 0.69 states/eV per atom
! - DFT total energy: -6.403 eV per atom
&SYSTEM
  ibrav = 0, nat = 4, ntyp = 3
/
ATOMIC_SPECIES
Ti 47.87 Ti.upf
H 1.01 H.upf
Rh 102.91 Rh.upf
ATOMIC_POSITIONS crystal
Ti 0.000 0.000 0.500
H 0.000 0.000 0.000
Rh 0.667 0.333 0.000
Rh 0.333 0.667 0.000
CELL_PARAMETERS angstrom
-2.294 1.726 -3.158
0.034 -4.232 0.546
-2.561 0.236 1.989


[6]
! Er2TlGe2Rh5 GGA-PBE optimized geometry; values from VASP
! - Energy of formation from the pure elements: -0.736 eV/atom
! - Crystal system: tetragonal
! - N(E_F): 0.42 states/eV per atom
! - DFT total energy: -6.485 eV per atom
&SYSTEM
  ibrav = 0, nat = 20, ntyp = 4
/
ATOMIC_SPECIES
Rh 102.91 Rh.upf
Tl 204.38 Tl.upf
Ge 72.64 Ge.upf
Er 167.26 Er.upf
ATOMIC_POSITIONS crystal
Rh 0.500 0.000 0.500
Rh 0.500 0.070 0.786
Rh 0.500 0.500 0.000
Rh 0.500 0.430 0.286
Rh 0.500 0.714 0.430
Rh 0.500 0.930 0.214
Rh 0.500 0.786 0.930
Rh 0.500 0.286 0.570
Rh 0.500 0.214 0.070
Rh 0.500 0.570 0.714
Tl 0.000 0.500 0.500
Tl 0.000 0.000 0.000
Ge 0.000 0.623 0.877
Ge 0.000 0.877 0.377
Ge 0.000 0.123 0.623
Ge 0.000 0.377 0.123
Er 0.000 0.175 0.325
Er 0.000 0.325 0.825
Er 0.000 0.825 0.675
Er 0.000 0.675 0.175
CELL_PARAMETERS angstrom
-0.142 3.614 -0.371
-3.438 -1.074 -9.132
-9.187 -0.006 3.459